Record 1
# BaYZr2

A relaxed BaYZr2 crystal (PBE, the Alexandria database).

The excess energy over the best structure of this formula in the dataset comes out at 0 meV per atom.

The space group is P4mm (No. 99) and the conventional cell measures 3.877, 3.877 and 8.750 Å, with angles of 90.00, 90.00 and 90.00 degrees. The asymmetric unit holds Ba at (0.000, 0.000, 0.000), Y at (0.500, 0.500, 0.354), Zr at (0.000, 0.000, 0.575) and Zr at (0.500, 0.500, 0.713).

=====

Record 2
# Sc2ZnS

A relaxed Sc2ZnS crystal (PBE, the Alexandria database).

As for the uncorrected formation energy: -0.36 eV/atom. The excess energy over the best structure of this formula in the dataset comes out at 740 meV per atom.

The space group is R-3m (No. 166, hexagonal axes) and the conventional cell measures 3.8025, 3.8025 and 24.3474 Å, with angles of 90.00, 90.00 and 120.00 degrees. The asymmetric unit holds Sc at (0.0000, 0.0000, 0.0958), Zn at (0.0000, 0.0000, 0.5000) and S at (0.0000, 0.0000, 0.0000).

=====

Record 3
# HfTi2Pd

A relaxed HfTi2Pd crystal (PBE, the Alexandria database).

The excess energy over the best structure of this formula in the dataset comes out at 0 meV per atom.

The space group is P4mm (No. 99) and the conventional cell measures 3.197, 3.197 and 6.883 Å, with angles of 90.00, 90.00 and 90.00 degrees. The asymmetric unit holds Hf at (0.000, 0.000, 0.000), Ti at (0.000, 0.000, 0.511), Ti at (0.500, 0.500, 0.269) and Pd at (0.500, 0.500, 0.742).

=====

Record 4
# Er5NpN6

A relaxed Er5NpN6 crystal (PBE, the Alexandria database).

As for the uncorrected formation energy: -1.67 eV/atom.

The space group is C2/m (No. 12) and the conventional cell measures 5.928, 10.273 and 5.925 Å, with angles of 90.00, 109.43 and 90.00 degrees. The asymmetric unit holds Er at (0.000, 0.000, 0.000), Er at (0.000, 0.166, 0.500), Er at (0.000, 0.332, 0.000), Np at (0.000, 0.500, 0.500), N at (0.241, 0.500, 0.258) and N at (0.244, 0.338, 0.745).

=====

Record 5
# InP4Br

A relaxed InP4Br crystal (PBE, the Alexandria database).

As for the uncorrected formation energy: -0.01 eV/atom.

The space group is F-43m (No. 216) and the conventional cell measures 8.724, 8.724 and 8.724 Å, with angles of 90.00, 90.00 and 90.00 degrees. The asymmetric unit holds In at (0.000, 0.000, 0.000), P at (0.089, 0.089, 0.589) and Br at (0.250, 0.250, 0.250).

=====

Record 6
# LaPm5Sm2Y

A relaxed LaPm5Sm2Y crystal (PBE, the Alexandria database).

The calculation puts the total energy at -42.2 eV/f.u.

The space group is I4/mcm (No. 140) and the conventional cell measures 8.964, 8.964 and 15.625 Å, with angles of 90.00, 90.00 and 90.00 degrees. The asymmetric unit holds La at (0.000, 0.000, 0.250), Pm at (0.000, 0.000, 0.000), Pm at (0.208, 0.292, 0.136), Sm at (0.116, 0.384, 0.500) and Y at (0.000, 0.500, 0.250).

=====

Record 7
# AgPSe2

A relaxed AgPSe2 crystal (PBE, the Alexandria database).

As for the uncorrected formation energy: 0.14 eV/atom.

The space group is I-42d (No. 122) and the conventional cell measures 5.694, 5.694 and 12.920 Å, with angles of 90.00, 90.00 and 90.00 degrees. The asymmetric unit holds Ag at (0.000, 0.000, 0.000), P at (0.000, 0.000, 0.500) and Se at (0.214, 0.250, 0.625).

=====

Record 8
# TaV2Sn

A relaxed TaV2Sn crystal (PBE, the Alexandria database).

The calculation puts the total energy at -31.2 eV/f.u.

The space group is I-42d (No. 122) and the conventional cell measures 7.255, 7.255 and 5.546 Å, with angles of 90.00, 90.00 and 90.00 degrees. The asymmetric unit holds Ta at (0.000, 0.000, 0.000), V at (0.230, 0.250, 0.125) and Sn at (0.000, 0.000, 0.500).

=====

Record 9
# Si23Ag

A relaxed Si23Ag crystal (PBE, the Alexandria database).

As for the uncorrected formation energy: 0.10 eV/atom.

The space group is Pm-3n (No. 223) and the conventional cell measures 10.225, 10.225 and 10.225 Å, with angles of 90.00, 90.00 and 90.00 degrees. The asymmetric unit holds Si at (0.000, 0.117, 0.308), Si at (0.000, 0.250, 0.500), Si at (0.183, 0.183, 0.183) and Ag at (0.000, 0.000, 0.000).

=====

Record 10
# Li2In5Au5

A relaxed Li2In5Au5 crystal (PBE, the Alexandria database).

The calculation puts the total energy at -37.3 eV/f.u.

The space group is C2/m (No. 12) and the conventional cell measures 7.828, 4.504 and 14.209 Å, with angles of 90.00, 99.89 and 90.00 degrees. The asymmetric unit holds Li at (0.071, 0.000, 0.209), In at (0.000, 0.500, 0.500), In at (0.196, 0.500, 0.088), In at (0.223, 0.000, 0.678), Au at (0.000, 0.000, 0.000), Au at (0.100, 0.500, 0.800) and Au at (0.137, 0.000, 0.409).

=====

Record 11
# TlSiBiO2

A relaxed TlSiBiO2 crystal (PBE, the Alexandria database).

As for the uncorrected formation energy: -0.03 eV/atom.

The space group is P4/mmm (No. 123) and the conventional cell measures 4.289, 4.289 and 5.621 Å, with angles of 90.00, 90.00 and 90.00 degrees. The asymmetric unit holds Tl at (0.000, 0.000, 0.000), Si at (0.500, 0.500, 0.000), Bi at (0.500, 0.500, 0.500) and O at (0.000, 0.500, 0.500).